# 1
8
Lattice="4.113 0.000 0.000 0.000 7.176 0.143 0.000 -2.489 6.769" Properties=species:S:1:pos:R:3 comment="TbPu2ThSe4 PBE relaxed" n_ef_per_ev_atom=1.916 sg="P2/m, No. 10" raw_formation_energy_kj_per_mol_fu=-1242 pbc="T T T"
Se 2.056 1.134 1.729
Se 0.000 -0.113 5.075
Pu 0.000 2.343 3.456
Se 0.000 4.800 1.837
Tb 0.000 0.000 0.000
Pu 2.056 -1.245 3.385
Th 2.056 3.588 0.071
Se 2.056 3.553 5.183

=====

# 2
4
Lattice="3.315 -0.010 0.000 -1.191 3.093 0.000 0.000 0.000 10.538" Properties=species:S:1:pos:R:3 comment="La2ScMo PBE relaxed" n_ef_per_ev_atom=1.541 sg="Cmm2, No. 35" relative_energy_mev_per_atom=70 delta_e_f_ev_per_atom=0.32 pbc="T T T"
La 0.000 0.000 10.325
Mo 0.000 0.000 5.395
Sc 1.062 1.542 7.352
La 1.062 1.542 3.273

=====

# 3
5
Lattice="-2.710 2.058 -1.193 -1.919 -0.823 2.940 0.015 5.333 3.715" Properties=species:S:1:pos:R:3 comment="Si2GeRh2 PBE relaxed" n_ef_per_ev_atom=0.417 sg="I4/mmm, No. 139" relative_energy_mev_per_atom=0 raw_formation_energy_kj_per_mol_fu=-209 pbc="T T T"
Ge 0.000 0.000 0.000
Rh -1.752 1.756 1.560
Rh -2.862 4.811 3.903
Si -2.505 4.004 1.698
Si -2.109 2.563 3.764

=====

# 4
5
Lattice="5.019 0.000 0.000 0.000 5.019 0.000 0.000 0.000 5.019" Properties=species:S:1:pos:R:3 comment="LaHf3Tc PBE relaxed" n_ef_per_ev_atom=2.310 sg="Pm-3m, No. 221" relative_energy_mev_per_atom=1808 delta_e_f_ev_per_atom=2.02 pbc="T T T"
Tc 2.510 2.510 2.510
Hf 0.000 2.510 0.000
Hf 0.000 0.000 2.510
La 0.000 0.000 0.000
Hf 2.510 0.000 0.000

=====

# 5
5
Lattice="-5.619 0.516 1.727 -1.182 -5.323 -2.257 1.361 -2.495 5.172" Properties=species:S:1:pos:R:3 comment="YMg4 PBE relaxed" n_ef_per_ev_atom=1.298 sg="Pm-3m, No. 221" relative_energy_mev_per_atom=1033 delta_e_f_ev_per_atom=1.01 pbc="T T T"
Mg -2.129 -0.990 3.450
Mg 0.000 0.000 0.000
Mg 0.089 -3.909 1.457
Mg -3.401 -2.404 -0.265
Y -2.720 -3.651 2.321

=====

# 6
18
Lattice="6.687 0.000 0.000 3.343 7.298 0.098 3.343 2.522 6.849" Properties=species:S:1:pos:R:3 comment="SmMnFe PBE relaxed" n_ef_per_ev_atom=1.388 sg="Amm2, No. 38" delta_e_f_ev_per_atom=0.29 pbc="T T T"
Sm 6.385 5.870 6.684
Sm 6.385 1.563 3.638
Fe 7.633 8.798 6.224
Sm 6.385 8.258 3.309
Mn 5.414 3.716 5.161
Mn 4.915 1.491 1.055
Fe 6.578 4.910 3.473
Mn 8.258 3.419 2.418
Fe 0.947 1.022 0.723
Mn 8.258 6.401 4.528
Fe 4.290 3.888 2.751
Fe 3.235 0.000 0.000
Sm 9.062 3.716 5.161
Mn 5.414 6.104 1.786
Sm 9.062 6.104 1.786
Fe 4.290 5.932 4.196
Mn 11.602 8.329 5.892
Sm 6.385 3.950 0.262

=====

# 7
8
Lattice="5.292 0.000 0.000 0.000 5.292 0.000 2.646 2.646 6.380" Properties=species:S:1:pos:R:3 comment="PdSeS2 PBE relaxed" n_ef_per_ev_atom=0.691 sg="I-42d, No. 122" raw_formation_energy_kj_per_mol_fu=104 pbc="T T T"
S 1.178 3.969 1.595
Se 2.646 2.646 0.000
Pd 0.000 0.000 0.000
S 3.969 3.824 4.785
Pd 5.292 2.646 3.190
Se 2.646 5.292 3.190
S 6.615 6.760 4.785
S 4.114 1.323 1.595

=====

# 8
6
Lattice="-0.473 -0.440 4.530 2.197 -3.222 -2.394 5.829 3.285 0.928" Properties=species:S:1:pos:R:3 comment="CaZn2InAu2 PBE relaxed" n_ef_per_ev_atom=0.274 sg="P-3m1, No. 164" delta_e_f_ev_per_atom=-0.41 pbc="T T T"
Zn 5.548 0.096 0.589
Au 2.900 -1.396 0.167
In 2.915 1.642 0.464
Au 4.652 1.019 2.896
Ca 0.000 0.000 0.000
Zn 2.004 -0.472 2.475

=====

# 9
4
Lattice="4.356 0.000 0.000 0.000 4.356 0.000 0.000 0.000 2.578" Properties=species:S:1:pos:R:3 comment="CoReNi2 PBE relaxed" n_ef_per_ev_atom=1.427 sg="P4/mmm, No. 123" relative_energy_mev_per_atom=239 delta_e_f_ev_per_atom=0.25 pbc="T T T"
Re 2.178 0.000 1.289
Co 0.000 2.178 1.289
Ni 0.000 0.000 0.000
Ni 2.178 2.178 0.000

=====

# 10
7
Lattice="-1.052 -3.531 2.709 -2.610 -1.765 -3.314 2.932 -5.700 -2.430" Properties=species:S:1:pos:R:3 comment="ScCo2Ru4 PBE relaxed" n_ef_per_ev_atom=1.395 sg="I4/mmm, No. 139" delta_e_f_ev_per_atom=1.42 pbc="T T T"
Co 0.146 -7.736 -2.306
Sc 0.000 0.000 0.000
Ru -1.305 -0.882 -1.657
Ru -1.635 -6.595 -1.511
Co -0.877 -3.259 -0.729
Ru 0.904 -4.401 -1.524
Ru -0.526 -1.765 1.354

=====

# 11
4
Lattice="5.292 0.000 0.000 0.000 4.759 0.000 0.000 0.000 4.759" Properties=species:S:1:pos:R:3 comment="HoTh2Bi PBE relaxed" n_ef_per_ev_atom=0.774 sg="P4/mmm, No. 123" relative_energy_mev_per_atom=0 delta_e_f_ev_per_atom=-0.29 pbc="T T T"
Th 0.000 0.000 2.380
Ho 2.646 0.000 0.000
Th 0.000 2.380 0.000
Bi 2.646 2.380 2.380